Material: CdTe2Pb
Method: DFT, GGA-PBE
State: optimized geometry

Cell: 3.8141 3.8141 31.2808 Å, 90.00 90.00 120.00°
Space group R-3m (No. 166, hexagonal axes)
One atom of each set of equivalent atoms:
Cd (0.0000, 0.0000, 0.0000) (multiplicity 3)
Te (0.0000, 0.0000, 0.3968) (multiplicity 6)
Pb (0.0000, 0.0000, 0.5000) (multiplicity 3)

Calculated values
The total energy comes out at -2.722 eV per atom. As for the calculated volume: 394.1 Å³ per cell. For the total moment, the calculation gives 0.00 μB/cell. The calculation puts the formation energy (no corrections) at 5 meV per atom.



Material: AcTaInO6
Method: DFT, GGA-PBE
State: optimized geometry

Cell: 5.5427 5.5427 10.5861 Å, 90.00 90.00 120.00°
Space group P-31c (No. 163)
One atom of each set of equivalent atoms:
Ac (0.0000, 0.0000, 0.0000) (multiplicity 2)
Ta (0.3333, 0.6667, 0.2500) (multiplicity 2)
In (0.3333, 0.6667, 0.7500) (multiplicity 2)
O (0.0235, 0.3811, 0.1425) (multiplicity 12)

Calculated values
The total energy comes out at -7.809 eV per atom. As for the calculated volume: 281.7 Å³ per cell. For the total moment, the calculation gives 2.18 μB/cell. The calculation puts the formation energy (no corrections) at -2425 meV per atom.